Record 1
PaMnGeH: optimized geometry, PBE-GGA.

Calculated values
V: 57.5 Å³ per cell
E_tot: -7.07 eV/atom
theoretical density: 10.38 g/cm3

Lattice parameters (Å, degrees): 4.2762 4.2762 3.6321 90.00 90.00 120.00
Last column: nearest neighbours and their distance in Å.
Atoms (fractional coordinates):
Pa: 0.0000 0.0000 0.0000  3 H 2.47
Mn: 0.6667 0.3333 0.5000  2 H 1.82
Ge: 0.3333 0.6667 0.5000  3 Mn 2.47
H: 0.6667 0.3333 0.0000  2 Mn 1.82


Record 2
MnGeHPd2: optimized geometry, PBE-GGA.

Calculated values
V: 62.5 Å³ per cell
E_tot: -5.66 eV/atom
theoretical density: 9.07 g/cm3

Lattice parameters (Å, degrees): 3.9281 3.9281 4.0514 90.00 90.00 90.00
Last column: nearest neighbours and their distance in Å.
Atoms (fractional coordinates):
Mn: 0.0000 0.0000 0.0000  2 H 2.03
Ge: 0.5000 0.5000 0.0000  4 Mn 2.78, 8 Pd 2.82
H: 0.0000 0.0000 0.5000  4 Pd 1.96, 2 Mn 2.03
Pd: 0.0000 0.5000 0.5000  2 H 1.96
Pd: 0.5000 0.0000 0.5000  2 H 1.96


Record 3
Mn2GeHPd: optimized geometry, PBE-GGA.

Calculated values
V: 58.2 Å³ per cell
energy above the lowest structure with this stoichiometry: 0.144 eV per atom
theoretical density: 8.27 g/cm3

Lattice parameters (Å, degrees): 3.7066 3.7066 4.2352 90.00 90.00 90.00
Last column: nearest neighbours and their distance in Å.
Atoms (fractional coordinates):
Mn: 0.0000 0.5000 0.0000  2 H 1.85
Mn: 0.5000 0.0000 0.0000  2 H 1.85
Ge: 0.0000 0.0000 0.5000  2 H 2.12
H: 0.0000 0.0000 0.0000  4 Mn 1.85
Pd: 0.5000 0.5000 0.5000  4 Ge 2.62, 8 Mn 2.81


Record 4
Mn2GeHPd: optimized geometry, PBE-GGA.

Calculated values
V: 57.1 Å³ per cell
energy above the lowest structure with this stoichiometry: 0.000 eV per atom
theoretical density: 8.44 g/cm3

Lattice parameters (Å, degrees): 3.8058 3.8058 3.9400 90.00 90.00 90.00
Last column: nearest neighbours and their distance in Å.
Atoms (fractional coordinates):
Mn: 0.0000 0.5000 0.0000  2 H 1.90
Mn: 0.5000 0.0000 0.0000  2 H 1.90
Ge: 0.0000 0.0000 0.5000  4 Pd 2.69, 8 Mn 2.74
H: 0.5000 0.5000 0.0000  4 Mn 1.90, 2 Pd 1.97
Pd: 0.5000 0.5000 0.5000  2 H 1.97


Record 5
Mn2GeHPt: optimized geometry, PBE-GGA.

Calculated values
V: 57.7 Å³ per cell
energy above the lowest structure with this stoichiometry: 0.000 eV per atom
theoretical density: 10.90 g/cm3

Lattice parameters (Å, degrees): 3.8230 3.8230 3.9460 90.00 90.00 90.00
Last column: nearest neighbours and their distance in Å.
Atoms (fractional coordinates):
Mn: 0.0000 0.5000 0.0000  2 H 1.91
Mn: 0.5000 0.0000 0.0000  2 H 1.91
Ge: 0.0000 0.0000 0.5000  4 Pt 2.70, 8 Mn 2.75
H: 0.5000 0.5000 0.0000  4 Mn 1.91, 2 Pt 1.97
Pt: 0.5000 0.5000 0.5000  2 H 1.97


Record 6
MnGeHPt2: optimized geometry, PBE-GGA.

Calculated values
V: 64.4 Å³ per cell
E_tot: -5.92 eV/atom
theoretical density: 13.37 g/cm3

Lattice parameters (Å, degrees): 3.9449 3.9449 4.1410 90.00 90.00 90.00
Last column: nearest neighbours and their distance in Å.
Atoms (fractional coordinates):
Mn: 0.0000 0.0000 0.0000  2 H 2.07
Ge: 0.5000 0.5000 0.0000  4 Mn 2.79, 8 Pt 2.86
H: 0.0000 0.0000 0.5000  4 Pt 1.97, 2 Mn 2.07
Pt: 0.0000 0.5000 0.5000  2 H 1.97
Pt: 0.5000 0.0000 0.5000  2 H 1.97


Record 7
Mn2GeHPt: optimized geometry, PBE-GGA.

Calculated values
V: 58.0 Å³ per cell
energy above the lowest structure with this stoichiometry: 0.079 eV per atom
theoretical density: 10.84 g/cm3

Lattice parameters (Å, degrees): 3.7091 3.7091 4.2152 90.00 90.00 90.00
Last column: nearest neighbours and their distance in Å.
Atoms (fractional coordinates):
Mn: 0.0000 0.5000 0.0000  2 H 1.85
Mn: 0.5000 0.0000 0.0000  2 H 1.85
Ge: 0.0000 0.0000 0.5000  2 H 2.11
H: 0.0000 0.0000 0.0000  4 Mn 1.85
Pt: 0.5000 0.5000 0.5000  4 Ge 2.62, 8 Mn 2.81


Record 8
Pu2Mn4Ge3H2: optimized geometry, PBE-GGA.

Calculated values
V: 193.1 Å³ per cell
E_tot: -7.39 eV/atom
theoretical density: 7.98 g/cm3

Lattice parameters (Å, degrees): 8.7354 8.7354 8.7354 147.37 147.37 46.82
Last column: nearest neighbours and their distance in Å.
Atoms (fractional coordinates):
Pu: 0.1912 0.1912 0.0000  4 Mn 2.49
Pu: 0.8088 0.8088 0.0000  4 Mn 2.49
Mn: 0.1655 0.6655 0.5000  2 Pu 2.49, 2 Ge 2.52, 1 Mn 2.71
Mn: 0.3345 0.8345 0.5000  2 Pu 2.49, 2 Ge 2.52, 1 Mn 2.71
Mn: 0.6655 0.1655 0.5000  2 Pu 2.49, 2 Ge 2.52, 1 Mn 2.71
Mn: 0.8345 0.3345 0.5000  2 Pu 2.49, 2 Ge 2.52, 1 Mn 2.71
Ge: 0.0000 0.0000 0.0000  2 Pu 3.06
Ge: 0.3703 0.3703 0.0000  1 H 1.60
Ge: 0.6297 0.6297 0.0000  1 H 1.60
H: 0.4704 0.4704 0.0000  1 H 0.95
H: 0.5296 0.5296 0.0000  1 H 0.95


What did the second record say?
MnGeHPd2: optimized geometry, PBE-GGA.

Calculated values
V: 62.5 Å³ per cell
E_tot: -5.66 eV/atom
theoretical density: 9.07 g/cm3

Lattice parameters (Å, degrees): 3.9281 3.9281 4.0514 90.00 90.00 90.00
Last column: nearest neighbours and their distance in Å.
Atoms (fractional coordinates):
Mn: 0.0000 0.0000 0.0000  2 H 2.03
Ge: 0.5000 0.5000 0.0000  4 Mn 2.78, 8 Pd 2.82
H: 0.0000 0.0000 0.5000  4 Pd 1.96, 2 Mn 2.03
Pd: 0.0000 0.5000 0.5000  2 H 1.96
Pd: 0.5000 0.0000 0.5000  2 H 1.96